InSiAg | PBE-GGA | relaxed

Cell lengths 3.6770, 5.4250, 6.9791 Å; angles 102.55, 81.12, 101.41 degrees
Sites, in units of the cell vectors:
Ag: 0.2265 0.5994 0.6645
Ag: 0.0645 0.2841 0.9500
In: 0.4842 0.3314 0.2724
In: 0.6800 0.7703 0.0006
Si: 0.1251 0.0772 0.5866
Si: 0.6199 0.8779 0.4134

Properties
- E_tot (eV per atom) = -3.49
- volume (Å³/cell) = 132.3
- total magnetic moment (μB/cell) = 0.0
- symmetry = P1

TaPd3Au | PBE-GGA | relaxed

Cell lengths 5.0145, 5.2604, 7.1174 Å; angles 111.62, 100.65, 90.12 degrees
Sites, in units of the cell vectors:
Pd: 0.8115 0.9106 0.3222
Pd: 0.5000 0.0000 0.0000
Pd: 0.8128 0.4119 0.3216
Pd: 0.1885 0.0894 0.6778
Pd: 0.1872 0.5881 0.6784
Pd: 0.0000 0.0000 0.0000
Au: 0.2758 0.5881 0.1742
Au: 0.7242 0.4119 0.8258
Ta: 0.6469 0.8123 0.6265
Ta: 0.3531 0.1877 0.3735

Properties
- energy above the lowest structure with this stoichiometry (eV per atom) = 0.198
- energy of formation from the pure elements (eV per atom) = -0.102
- volume (Å³/cell) = 171.0
- total magnetic moment (μB/cell) = 0.0
- symmetry = P-1

K4Rb2Na5 | PBE-GGA | relaxed

Cell lengths 7.8536, 7.8247, 14.1104 Å; angles 81.97, 73.84, 59.88 degrees
Sites, in units of the cell vectors:
K: 0.7926 0.6731 0.7416
K: 0.2074 0.3269 0.2584
K: 0.5343 0.6731 0.2584
K: 0.4657 0.3269 0.7416
Na: 0.2500 0.5000 0.5000
Na: 0.5000 0.0000 0.0000
Na: 0.7500 0.5000 0.5000
Na: 0.0000 0.5000 0.0000
Na: 0.5000 0.5000 0.0000
Rb: 0.0905 0.0000 0.8190
Rb: 0.9095 0.0000 0.1810

Properties
- energy of formation from the pure elements (eV per atom) = 0.078
- volume (Å³/cell) = 720.4
- total magnetic moment (μB/cell) = 0.0
- symmetry = Fmmm

Ca2HfCl8 | PBE-GGA | relaxed

Cell lengths 6.4442, 6.9665, 7.9488 Å; angles 88.49, 113.91, 90.00 degrees
Sites, in units of the cell vectors:
Cl: 0.6929 0.4185 0.3858
Cl: 0.1644 0.0754 0.3289
Cl: 0.2786 0.7392 0.0572
Cl: 0.7785 0.7392 0.0572
Cl: 0.2215 0.2608 0.9428
Cl: 0.8356 0.9246 0.6711
Cl: 0.3071 0.5815 0.6142
Cl: 0.7214 0.2608 0.9428
Ca: 0.1400 0.4689 0.2800
Ca: 0.8600 0.5311 0.7200
Hf: 0.0000 0.0000 0.0000

Properties
- E_tot (eV per atom) = -4.65
- volume (Å³/cell) = 326.1
- total magnetic moment (μB/cell) = 0.1
- symmetry = C2/m

In5Pb | PBE-GGA | relaxed

Cell lengths 5.4233, 5.2855, 6.4557 Å; angles 114.17, 90.00, 90.00 degrees
Sites, in units of the cell vectors:
In: 0.0000 0.3305 0.6610
In: 0.5000 0.1705 0.3410
In: 0.0000 0.6695 0.3390
In: 0.5000 0.8295 0.6590
In: 0.5000 0.5000 0.0000
Pb: 0.0000 0.0000 0.0000

Properties
- energy above the lowest structure with this stoichiometry (eV per atom) = 0.004
- energy of formation from the pure elements (eV per atom) = 0.021
- volume (Å³/cell) = 168.8
- total magnetic moment (μB/cell) = 0.0
- symmetry = Cmmm

Ba2Nb2S7 | PBE-GGA | relaxed

Cell lengths 6.4002, 7.9050, 7.9050 Å; angles 101.64, 97.07, 97.07 degrees
Sites, in units of the cell vectors:
S: 0.2639 0.9009 0.5957
S: 0.0000 0.0000 0.0000
S: 0.7361 0.4043 0.0991
S: 0.7361 0.0991 0.4043
S: 0.2639 0.5957 0.9009
S: 0.2332 0.3749 0.3749
S: 0.7668 0.6251 0.6251
Ba: 0.5000 0.2929 0.7071
Ba: 0.5000 0.7071 0.2929
Nb: 0.9234 0.2212 0.2212
Nb: 0.0766 0.7788 0.7788

Properties
- E_tot (eV per atom) = -6.07
- volume (Å³/cell) = 384.2
- total magnetic moment (μB/cell) = 0.0
- symmetry = C2/m

Q: Which value of total magnetic moment does entry 3 give?
A: 0.0 μB/cell